No. 1
# ZnAsPb

ZnAsPb after structural relaxation (GGA-PBEsol, Alexandria).

```
ZnAsPb
1.0
4.049 0.000 0.000
-2.024 3.506 0.000
0.000 0.000 4.772
Zn As Pb
1 1 1
direct
0.000 0.000 0.000
0.333 0.667 0.837
0.667 0.333 0.410
```

Computed properties:
Space-group type = P3m1, No. 156
Energy = -10.67 eV for the cell shown
Energy of formation = 1.7 kJ/mol of formula units
ΔE to the lowest computed polymorph = 0.0 meV/atom

***

No. 2
# Zn2As2Pb

Zn2As2Pb after structural relaxation (GGA-PBEsol, Alexandria).

```
Zn2As2Pb
1.0
-2.153 2.153 5.438
2.153 -2.153 5.438
2.153 2.153 -5.438
Zn As Pb
2 2 1
direct
0.111 0.111 0.000
0.889 0.889 0.000
0.250 0.750 0.500
0.750 0.250 0.500
0.500 0.500 0.000
```

Computed properties:
Space-group type = I4/mmm, No. 139
Energy = -16.89 eV for the cell shown
Energy of formation = 47.1 kJ/mol of formula units
ΔE to the lowest computed polymorph = 126.9 meV/atom